A plane-wave DFT calculation with PBE was carried out for crystalline Pr3Er7 at its relaxed geometry.

Cell lengths 6.4867, 10.7600, 10.7600 Å; angles 120.00, 90.00, 90.00 degrees
Sites, in units of the cell vectors:
1 Pr 0.8672 0.5954 0.7977
2 Pr 0.8672 0.2023 0.4046
3 Er 0.5202 0.3333 0.6667
4 Er 0.3857 0.7571 0.8786
5 Er 0.2097 0.0577 0.5289
6 Er 0.8857 0.8786 0.7571
7 Er 0.7097 0.9423 0.4711
8 Er 0.8857 0.8786 0.1214
9 Pr 0.8672 0.2023 0.7977
10 Er 0.2097 0.4711 0.5289
11 Er 0.3857 0.1214 0.2429
12 Er 0.7097 0.5289 0.0577
13 Pr 0.3672 0.7977 0.5954
14 Er 0.8857 0.2429 0.1214
15 Er 0.0202 0.6667 0.3333
16 Er 0.2097 0.4711 0.9423
17 Pr 0.3672 0.7977 0.2023
18 Er 0.3857 0.1214 0.8786
19 Pr 0.3672 0.4046 0.2023
20 Er 0.7097 0.5289 0.4711

Summary:
* offset from the most stable computed form: 155 meV per atom
* energy of formation from the pure elements: 0.18 eV per atom
* size of the total moment: 0.0 μB per cell

=====

A plane-wave DFT calculation with PBE was carried out for crystalline Pr2Er17 at its relaxed geometry.

Cell lengths 8.6637, 8.6637, 8.6637 Å; angles 80.78, 80.78, 80.78 degrees
Sites, in units of the cell vectors:
1 Er 0.1484 0.6362 0.6362
2 Er 0.0000 0.2980 0.7020
3 Er 0.8516 0.3638 0.3638
4 Er 0.0994 0.0994 0.0994
5 Er 0.3638 0.8516 0.3638
6 Er 0.6362 0.1484 0.6362
7 Er 0.2980 0.7020 0.0000
8 Er 0.9006 0.9006 0.9006
9 Er 0.7020 0.2980 0.0000
10 Er 0.0000 0.0000 0.5000
11 Er 0.5000 0.0000 0.0000
12 Er 0.0000 0.7020 0.2980
13 Pr 0.6696 0.6696 0.6696
14 Er 0.6362 0.6362 0.1484
15 Er 0.3638 0.3638 0.8516
16 Er 0.0000 0.5000 0.0000
17 Er 0.7020 0.0000 0.2980
18 Pr 0.3304 0.3304 0.3304
19 Er 0.2980 0.0000 0.7020

Summary:
* energy of formation from the pure elements: 0.28 eV per atom
* size of the total moment: 0.2 μB per cell

=====

A plane-wave DFT calculation with PBE was carried out for crystalline PrEr3 at its relaxed geometry.

Cell lengths 3.6422, 6.2480, 6.7292 Å; angles 117.66, 105.70, 90.00 degrees
Sites, in units of the cell vectors:
1 Pr 0.0000 0.9962 0.0000
2 Er 0.5000 0.5004 0.0000
3 Er 0.2473 0.5823 0.4946
4 Er 0.7527 0.0877 0.5054

Summary:
* offset from the most stable computed form: 5 meV per atom
* energy of formation from the pure elements: 0.02 eV per atom
* size of the total moment: 0.0 μB per cell

=====

A plane-wave DFT calculation with PBE was carried out for crystalline PrEr3 at its relaxed geometry.

Cell lengths 3.6348, 5.6710, 6.2721 Å; angles 90.00, 90.00, 90.00 degrees
Sites, in units of the cell vectors:
1 Er 0.5000 0.5000 0.8325
2 Pr 0.0000 0.5000 0.3354
3 Er 0.0000 0.0000 0.9973
4 Er 0.5000 0.0000 0.5014

Summary:
* offset from the most stable computed form: 10 meV per atom
* energy of formation from the pure elements: 0.02 eV per atom
* size of the total moment: 0.0 μB per cell

=====

A plane-wave DFT calculation with PBE was carried out for crystalline Pr3Er2 at its relaxed geometry.

Cell lengths 6.3204, 6.4497, 9.4839 Å; angles 109.88, 109.46, 90.00 degrees
Sites, in units of the cell vectors:
1 Er 0.8051 0.6776 0.6101
2 Pr 0.3997 0.4984 0.7995
3 Pr 0.6003 0.5016 0.2005
4 Pr 0.8997 0.3011 0.7995
5 Er 0.6949 0.0674 0.3899
6 Pr 0.7500 0.0000 0.0000
7 Er 0.3051 0.9326 0.6101
8 Er 0.1949 0.3224 0.3899
9 Pr 0.2500 0.0000 0.0000
10 Pr 0.1003 0.6989 0.2005

Summary:
* energy of formation from the pure elements: 0.15 eV per atom
* size of the total moment: 0.0 μB per cell

=====

A plane-wave DFT calculation with PBE was carried out for crystalline Pr5Er6 at its relaxed geometry.

Cell lengths 5.6226, 9.9249, 9.4902 Å; angles 121.53, 107.23, 55.50 degrees
Sites, in units of the cell vectors:
1 Pr 0.0000 0.6625 0.3251
2 Er 0.7957 0.0688 0.7286
3 Pr 0.5000 0.5000 0.0000
4 Er 0.7052 0.7945 0.0000
5 Pr 0.5000 0.1980 0.3959
6 Er 0.2043 0.6599 0.7286
7 Er 0.2948 0.2055 0.0000
8 Er 0.7957 0.3401 0.2714
9 Pr 0.5000 0.8020 0.6041
10 Pr 0.0000 0.3375 0.6749
11 Er 0.2043 0.9312 0.2714

Summary:
* offset from the most stable computed form: 0 meV per atom
* energy of formation from the pure elements: 0.12 eV per atom
* size of the total moment: 0.0 μB per cell

=====

A plane-wave DFT calculation with PBE was carried out for crystalline PrEr3 at its relaxed geometry.

Cell lengths 6.1513, 6.1513, 6.1513 Å; angles 131.58, 131.58, 70.90 degrees
Sites, in units of the cell vectors:
1 Er 0.5000 0.5000 0.0000
2 Er 0.7500 0.2500 0.5000
3 Pr 0.0000 0.0000 0.0000
4 Er 0.2500 0.7500 0.5000

Summary:
* offset from the most stable computed form: 13 meV per atom
* energy of formation from the pure elements: 0.03 eV per atom
* size of the total moment: 0.0 μB per cell

=====

A plane-wave DFT calculation with PBE was carried out for crystalline Pr3Er7 at its relaxed geometry.

Cell lengths 5.0452, 7.1403, 9.4434 Å; angles 100.96, 105.49, 90.00 degrees
Sites, in units of the cell vectors:
1 Er 0.3998 0.1983 0.7997
2 Pr 0.8018 0.3989 0.6036
3 Pr 0.0000 0.0000 0.0000
4 Er 0.1996 0.0999 0.3993
5 Er 0.4010 0.7001 0.8019
6 Er 0.8004 0.9001 0.6007
7 Er 0.5990 0.2999 0.1981
8 Pr 0.1982 0.6011 0.3964
9 Er 0.0000 0.5000 0.0000
10 Er 0.6002 0.8017 0.2003

Summary:
* offset from the most stable computed form: 0 meV per atom
* energy of formation from the pure elements: 0.02 eV per atom
* size of the total moment: 0.0 μB per cell

=====

A plane-wave DFT calculation with PBE was carried out for crystalline PrEr4 at its relaxed geometry.

Cell lengths 3.5896, 3.5903, 17.5838 Å; angles 59.31, 120.69, 119.99 degrees
Sites, in units of the cell vectors:
1 Pr 0.0000 0.0000 0.0000
2 Er 0.3303 0.6692 0.5981
3 Er 0.6697 0.3308 0.4019
4 Er 0.3251 0.6765 0.7944
5 Er 0.6749 0.3235 0.2056

Summary:
* offset from the most stable computed form: 0 meV per atom
* energy of formation from the pure elements: 0.00 eV per atom
* size of the total moment: 0.0 μB per cell

=====

A plane-wave DFT calculation with PBE was carried out for crystalline Pr8Er3 at its relaxed geometry.

Cell lengths 7.3720, 7.3720, 7.3720 Å; angles 84.18, 84.18, 84.18 degrees
Sites, in units of the cell vectors:
1 Er 0.5000 0.5000 0.0000
2 Pr 0.3899 0.3899 0.3899
3 Pr 0.6101 0.6101 0.6101
4 Pr 0.3086 0.1500 0.8851
5 Pr 0.6914 0.8500 0.1149
6 Pr 0.8500 0.1149 0.6914
7 Pr 0.8851 0.3086 0.1500
8 Er 0.5000 0.0000 0.5000
9 Pr 0.1500 0.8851 0.3086
10 Er 0.0000 0.5000 0.5000
11 Pr 0.1149 0.6914 0.8500

Summary:
* offset from the most stable computed form: 424 meV per atom
* energy of formation from the pure elements: 0.44 eV per atom
* size of the total moment: 0.0 μB per cell

=====

A plane-wave DFT calculation with PBE was carried out for crystalline Pr6Er at its relaxed geometry.

Cell lengths 6.6681, 6.6681, 11.4683 Å; angles 90.00, 90.00, 90.00 degrees
Sites, in units of the cell vectors:
1 Pr 0.1686 0.3314 0.3602
2 Pr 0.6686 0.8314 0.6398
3 Er 0.0000 0.5000 0.0000
4 Pr 0.3314 0.1686 0.6398
5 Pr 0.1686 0.6686 0.6398
6 Pr 0.6686 0.1686 0.3602
7 Pr 0.8314 0.6686 0.3602
8 Er 0.5000 0.0000 0.0000
9 Pr 0.0000 0.0000 0.8637
10 Pr 0.8314 0.3314 0.6398
11 Pr 0.5000 0.5000 0.8637
12 Pr 0.0000 0.0000 0.1363
13 Pr 0.5000 0.5000 0.1363
14 Pr 0.3314 0.8314 0.3602

Summary:
* offset from the most stable computed form: 0 meV per atom
* energy of formation from the pure elements: 0.24 eV per atom
* size of the total moment: 0.0 μB per cell

=====

A plane-wave DFT calculation with PBE was carried out for crystalline PrEr3 at its relaxed geometry.

Cell lengths 5.0320, 5.0320, 5.0320 Å; angles 90.00, 90.00, 90.00 degrees
Sites, in units of the cell vectors:
1 Er 0.0000 0.5000 0.0000
2 Er 0.0000 0.0000 0.5000
3 Pr 0.5000 0.5000 0.5000
4 Er 0.5000 0.0000 0.0000

Summary:
* offset from the most stable computed form: 14 meV per atom
* energy of formation from the pure elements: 0.03 eV per atom
* size of the total moment: 0.0 μB per cell